{
  "formula": "TlAs2Pt2",
  "functional": "GGA-PBEsol",
  "state": "optimized geometry",
  "lattice_angstrom": [[-2.2937, 2.2937, 4.7647], [2.2937, -2.2937, 4.7647], [2.2937, 2.2937, -4.7647]],
  "species": ["Tl", "As", "As", "Pt", "Pt"],
  "fractional_positions": [[0.0000, 0.0000, 0.0000], [0.2500, 0.7500, 0.5000], [0.7500, 0.2500, 0.5000], [0.3591, 0.3591, 0.0000], [0.6409, 0.6409, 0.0000]],
  "delta_e_f_ev_per_atom": -0.1222,
  "dft_energy_ev_per_atom": -5.48,
  "n_ef_per_ev_atom": 0.356
}